[1]
The following is a DFT calculation (PBE) of a geometry-optimized AgSe2F8 structure.

Geometry as POSCAR:
```
AgSe2F8
1.0
-0.238 -0.627 -4.463
6.600 -2.562 0.034
-5.398 -4.061 0.872
F Se Ag
8 2 1
Direct
0.246 0.114 0.761 F
0.791 0.397 0.791 F
0.754 0.886 0.239 F
0.751 0.348 0.234 F
0.741 0.765 0.534 F
0.209 0.603 0.209 F
0.259 0.235 0.466 F
0.249 0.652 0.766 F
0.257 0.384 0.767 Se
0.743 0.616 0.233 Se
0.000 0.000 0.000 Ag
```

## Properties
SG: P-1 (2)
E above lowest polymorph, eV per atom: 0.0024
Mass density, g/cm³: 3.7


[2]
The following is a DFT calculation (PBE) of a geometry-optimized AgSeF2 structure.

Geometry as POSCAR:
```
AgSeF2
1.0
1.770 0.000 7.815
-0.885 1.533 7.815
-0.885 -1.533 7.815
F Ag Se
2 1 1
Direct
0.084 0.084 0.084 F
0.916 0.916 0.916 F
0.500 0.500 0.500 Ag
0.000 0.000 0.000 Se
```

## Properties
SG: R-3m (166)
E above lowest polymorph, eV per atom: 0.0000
Mass density, g/cm³: 5.9


[3]
The following is a DFT calculation (PBE) of a geometry-optimized Ag2SeF6 structure.

Geometry as POSCAR:
```
Ag2SeF6
1.0
-5.512 1.678 1.753
2.057 -6.196 2.354
2.938 3.289 6.089
F Ag Se
12 4 2
Direct
0.334 0.103 0.676 F
0.777 0.283 0.499 F
0.277 0.783 0.001 F
0.834 0.603 0.824 F
0.668 0.898 0.676 F
0.168 0.398 0.824 F
0.166 0.397 0.176 F
0.723 0.217 0.999 F
0.223 0.717 0.501 F
0.832 0.602 0.176 F
0.666 0.897 0.324 F
0.332 0.102 0.324 F
0.276 0.137 0.000 Ag
0.776 0.637 0.500 Ag
0.224 0.363 0.500 Ag
0.724 0.863 0.000 Ag
0.500 0.000 0.500 Se
0.000 0.500 0.000 Se
```

## Properties
SG: P2_1/c (14)
E above lowest polymorph, eV per atom: 0.0107
Mass density, g/cm³: 4.8


[4]
The following is a DFT calculation (PBE) of a geometry-optimized Ag2SeF structure.

Geometry as POSCAR:
```
Ag2SeF
1.0
-4.575 -1.345 1.543
0.527 -2.937 2.015
0.924 5.085 7.173
F Ag Se
2 4 2
Direct
0.716 0.062 0.313 F
0.217 0.563 0.471 F
0.918 0.185 0.542 Ag
0.316 0.426 0.748 Ag
0.418 0.684 0.242 Ag
0.816 0.926 0.036 Ag
0.745 0.761 0.739 Se
0.245 0.261 0.045 Se
```

## Properties
SG: Pc (7)
E above lowest polymorph, eV per atom: 0.0029
Mass density, g/cm³: 6.8


[5]
The following is a DFT calculation (PBE) of a geometry-optimized Ag6SeF12 structure.

Geometry as POSCAR:
```
Ag6SeF12
1.0
6.819 -0.018 -0.021
-1.051 6.737 -0.021
-1.051 -1.225 6.625
Se F Ag
1 12 6
Direct
0.000 0.000 0.000 Se
0.382 0.832 0.583 F
0.711 0.939 0.009 F
0.168 0.417 0.618 F
0.991 0.289 0.061 F
0.061 0.991 0.289 F
0.832 0.583 0.382 F
0.289 0.061 0.991 F
0.583 0.382 0.832 F
0.009 0.711 0.939 F
0.939 0.009 0.711 F
0.618 0.168 0.417 F
0.417 0.618 0.168 F
0.599 0.312 0.145 Ag
0.312 0.145 0.599 Ag
0.855 0.401 0.688 Ag
0.401 0.688 0.855 Ag
0.688 0.855 0.401 Ag
0.145 0.599 0.312 Ag
```

## Properties
SG: R-3 (148)
Mass density, g/cm³: 5.2
DFT total energy, eV/atom: -3.510


[6]
The following is a DFT calculation (PBE) of a geometry-optimized Ag2SeF structure.

Geometry as POSCAR:
```
Ag2SeF
1.0
-3.626 0.117 2.764
-0.609 3.537 2.814
-3.365 2.979 -0.777
Ag Se F
2 1 1
Direct
0.750 0.750 0.750 Ag
0.250 0.250 0.250 Ag
0.500 0.500 0.500 Se
0.000 0.000 0.000 F
```

## Properties
SG: Fm-3m (225)
E above lowest polymorph, eV per atom: 0.1064
Mass density, g/cm³: 7.8


[7]
The following is a DFT calculation (PBE) of a geometry-optimized Ag2SnSe2F2 structure.

Geometry as POSCAR:
```
Ag2SnSe2F2
1.0
-0.078 -3.607 -1.434
3.965 0.240 -6.077
6.673 -2.016 -0.550
Ag Se F Sn
2 2 2 1
Direct
0.220 0.274 0.286 Ag
0.780 0.726 0.714 Ag
0.608 0.116 0.668 Se
0.392 0.884 0.332 Se
0.867 0.339 0.926 F
0.133 0.661 0.074 F
0.000 0.000 0.000 Sn
```

## Properties
SG: C2/m (12)
Mass density, g/cm³: 5.8
DFT total energy, eV/atom: -3.809


[8]
The following is a DFT calculation (PBE) of a geometry-optimized TaAgSeF2 structure.

Geometry as POSCAR:
```
TaAgSeF2
1.0
4.006 0.000 0.000
0.000 6.046 0.000
0.000 0.000 4.006
Ag F Ta Se
1 2 1 1
Direct
0.000 0.000 0.000 Ag
0.000 0.000 0.500 F
0.500 0.000 0.000 F
0.000 0.500 0.000 Ta
0.500 0.500 0.500 Se
```

## Properties
SG: P4/mmm (123)
Mass density, g/cm³: 6.9
DFT total energy, eV/atom: -4.605